No. 1
First-principles (PBE) data for MgBiRh2 after structural relaxation, as listed in the Alexandria database.

abc: 6.035 6.035 6.035
angles: 151.33 131.68 57.16
Sites, in units of the cell vectors:
Mg 0.000 0.000 0.000
Bi 0.500 0.500 0.000
Rh 0.241 0.241 0.000
Rh 0.759 0.759 0.000

Properties
Crystal system: orthorhombic
Space group: Immm (71)

No. 2
First-principles (PBE) data for MgBiRh2 after structural relaxation, as listed in the Alexandria database.

abc: 4.382 4.382 3.607
angles: 90.00 90.00 90.00
Sites, in units of the cell vectors:
Mg 0.000 0.000 0.000
Bi 0.500 0.500 0.000
Rh 0.000 0.500 0.500
Rh 0.500 0.000 0.500

Properties
Crystal system: tetragonal
Space group: P4/mmm (123)

No. 3
First-principles (PBE) data for Mg8Bi2Rh after structural relaxation, as listed in the Alexandria database.

abc: 8.238 8.238 7.912
angles: 115.07 115.07 32.55
Sites, in units of the cell vectors:
Mg 0.006 0.006 0.216
Mg 0.120 0.120 0.616
Mg 0.348 0.348 0.593
Mg 0.369 0.369 0.129
Mg 0.631 0.631 0.871
Mg 0.652 0.652 0.407
Mg 0.880 0.880 0.384
Mg 0.994 0.994 0.784
Bi 0.180 0.180 0.161
Bi 0.820 0.820 0.839
Rh 0.500 0.500 0.500

Properties
Crystal system: monoclinic
Offset from the most stable computed form (eV/atom): 0.029
Space group: C2/m (12)

No. 4
First-principles (PBE) data for MgBiRuRh after structural relaxation, as listed in the Alexandria database.

abc: 4.585 4.585 4.585
angles: 60.00 60.00 60.00
Sites, in units of the cell vectors:
Mg 0.000 0.000 0.000
Bi 0.500 0.500 0.500
Ru 0.750 0.750 0.750
Rh 0.250 0.250 0.250

Properties
Crystal system: cubic
Space group: F-43m (216)

No. 5
First-principles (PBE) data for Mg2TlBiRh after structural relaxation, as listed in the Alexandria database.

abc: 5.103 5.103 5.147
angles: 90.00 90.00 90.00
Sites, in units of the cell vectors:
Mg 0.000 0.500 0.000
Mg 0.500 0.000 0.000
Tl 0.000 0.000 0.500
Bi 0.500 0.500 0.500
Rh 0.500 0.500 0.000

Properties
Crystal system: tetragonal
Space group: P4/mmm (123)

No. 6
First-principles (PBE) data for MgBi3Ru after structural relaxation, as listed in the Alexandria database.

abc: 5.333 5.333 5.333
angles: 90.00 90.00 90.00
Sites, in units of the cell vectors:
Mg 0.000 0.000 0.000
Bi 0.000 0.500 0.500
Bi 0.500 0.000 0.500
Bi 0.500 0.500 0.000
Ru 0.500 0.500 0.500

Properties
Crystal system: cubic
Offset from the most stable computed form (eV/atom): 0.000
Space group: Pm-3m (221)

Energy relative to the elements
In order: 0.4415; -0.3019; -0.1645; -0.1097; -0.1058; 0.4176
Unit: eV per atom